--- P ---
Density functional theory data (PBE) for an optimized crystal structure of BaGaNF2.

```
BaGaNF2
1.0
5.0165 0.0000 0.0000
0.0000 5.0165 0.0000
0.0000 0.0000 5.5105
N Ba Ga F
1 1 1 2
Cartesian
0.0000 0.0000 2.7552
0.0000 0.0000 0.0000
2.5082 2.5082 2.7552
0.0000 2.5082 0.0000
2.5082 0.0000 0.0000
```

Properties
total moment	2.00	μB per formula unit

---

--- Q ---
Density functional theory data (PBE) for an optimized crystal structure of BaGaNF2.

```
BaGaNF2
1.0
4.4585 0.0000 0.0000
0.0000 4.4585 0.0000
0.0000 0.0000 3.6911
N Ba Ga F
1 1 1 2
Cartesian
0.0000 0.0000 1.8455
2.2292 2.2292 1.8455
0.0000 0.0000 0.0000
0.0000 2.2292 0.0000
2.2292 0.0000 0.0000
```

Properties
total moment	0.00	μB per formula unit

---

The structure with the greatest stability is Q.

---

--- P ---
Density functional theory data (PBE) for an optimized crystal structure of BaGaOF2.

```
BaGaOF2
1.0
5.0846 0.0000 0.0000
0.0000 5.0846 0.0000
0.0000 0.0000 4.5671
O Ba Ga F
1 1 1 2
Cartesian
0.0000 0.0000 2.2836
0.0000 0.0000 0.0000
2.5423 2.5423 2.2836
0.0000 2.5423 0.0000
2.5423 0.0000 0.0000
```

Properties
total moment	0.00	μB per formula unit

---

--- Q ---
Density functional theory data (PBE) for an optimized crystal structure of BaGaOF2.

```
BaGaOF2
1.0
-3.4624 -0.3292 -2.7741
-0.5784 -4.2377 1.2248
-2.5220 1.2124 3.0038
O Ba Ga F
1 1 1 2
Cartesian
-1.2610 0.6062 1.5019
-3.2814 -1.6772 0.7272
0.0000 0.0000 0.0000
-0.2892 -2.1188 0.6124
-1.7312 -0.1646 -1.3871
```

Properties
total moment	0.00	μB per formula unit

---

The structure with the greatest stability is Q.

---

--- P ---
Density functional theory data (PBE) for an optimized crystal structure of BaGe3F.

```
BaGe3F
1.0
-4.5678 -1.2488 1.1716
0.3499 -3.9481 -2.8438
1.6762 -2.5788 3.7865
Ge Ba F
3 1 1
Cartesian
0.1750 -1.9741 -1.4219
0.8381 -1.2894 1.8932
-2.2839 -0.6244 0.5858
-1.2708 -3.8879 1.0571
0.0000 0.0000 0.0000
```

Properties
total moment	0.00	μB per formula unit

---

--- Q ---
Density functional theory data (PBE) for an optimized crystal structure of BaGe3F.

```
BaGe3F
1.0
-3.4841 4.4992 -1.9598
-4.9042 -3.1036 1.5935
0.1806 2.5194 5.4628
Ge Ba F
3 1 1
Cartesian
-2.4521 -1.5518 0.7967
0.0903 1.2597 2.7314
-1.7421 2.2496 -0.9799
0.0000 0.0000 0.0000
-4.1038 1.9575 2.5482
```

Properties
total moment	0.00	μB per formula unit

---

The structure with the greatest stability is P.

---

--- P ---
Density functional theory data (PBE) for an optimized crystal structure of BaGe2F6.

```
BaGe2F6
1.0
-5.1291 4.3057 -3.3085
-7.2315 -2.1892 -0.4067
-3.4698 5.5365 3.8158
Ba Ge F
2 4 12
Cartesian
-5.3645 5.3551 2.3012
-10.4659 2.2979 -2.2006
-9.4422 5.0781 1.0406
-3.1583 1.7885 1.4611
-6.3882 2.5749 -0.9400
-12.6722 5.8644 -1.3605
-10.7288 3.9842 -0.0086
-8.4553 4.2010 -2.4308
-5.1016 3.6688 0.1092
-7.3752 3.4519 2.5314
-6.5405 5.7230 -1.2582
-10.6810 6.4929 1.0219
-9.2900 1.9299 1.3588
-5.1494 1.1600 -0.9212
-10.2482 4.3910 2.6309
-2.4857 2.2017 -0.2789
-5.5822 3.2620 -2.5303
-13.3448 5.4512 0.3795
```

Properties
total moment	0.00	μB per formula unit

---

--- Q ---
Density functional theory data (PBE) for an optimized crystal structure of BaGe2F6.

```
BaGe2F6
1.0
-6.7885 -0.6127 2.4771
-2.4513 -6.1148 -3.0325
-1.4424 -6.1604 5.0164
Ba Ge F
2 4 12
Cartesian
-7.1544 -6.1413 5.3299
-3.5278 -6.7466 -0.8689
-3.8270 -7.4471 3.2113
-6.8468 -9.4466 2.8309
-6.8552 -5.4408 1.2496
-3.8354 -3.4412 1.6301
-2.9984 -6.3304 1.9016
-7.1658 -11.2096 3.4934
-7.6838 -6.5575 2.5594
-3.5164 -1.6782 0.9675
-3.3289 -4.1696 -0.0364
-5.6817 -6.8437 0.7819
-7.3533 -8.7182 4.4973
-5.0005 -6.0442 3.6791
-2.4750 -6.8427 4.4367
-8.6588 -9.4674 2.1899
-8.2072 -6.0452 0.0242
-2.0234 -3.4204 2.2710
```

Properties
total moment	0.00	μB per formula unit

---

The structure with the greatest stability is Q.

---

--- P ---
Density functional theory data (PBE) for an optimized crystal structure of BaGeN2F.

```
BaGeN2F
1.0
-2.1528 0.1794 3.2213
1.1849 -3.5580 0.9900
3.6654 1.8733 2.3452
Ge N Ba F
1 2 1 1
Cartesian
0.0000 0.0000 0.0000
0.5925 -1.7790 0.4950
-1.0764 0.0897 1.6106
1.3488 -0.7526 3.2783
1.8327 0.9366 1.1726
```

Properties
total moment	0.56	μB per formula unit

---

--- Q ---
Density functional theory data (PBE) for an optimized crystal structure of BaGeN2F.

```
BaGeN2F
1.0
4.7337 0.0000 0.0000
0.0000 4.7337 0.0000
0.0000 0.0000 4.8231
Ge N Ba F
1 2 1 1
Cartesian
2.3669 2.3669 2.4116
0.0000 2.3669 0.0000
2.3669 0.0000 0.0000
0.0000 0.0000 0.0000
0.0000 0.0000 2.4116
```

Properties
total moment	1.00	μB per formula unit

---

The structure with the greatest stability is P.

---

--- P ---
Density functional theory data (PBE) for an optimized crystal structure of BaGeOF2.

```
BaGeOF2
1.0
4.9006 0.0000 0.0000
0.0000 4.9006 0.0000
0.0000 0.0000 5.0858
Ge Ba O F
1 1 1 2
Cartesian
2.4503 2.4503 2.5429
0.0000 0.0000 0.0000
0.0000 0.0000 2.5429
0.0000 2.4503 0.0000
2.4503 0.0000 0.0000
```

Properties
total moment	0.00	μB per formula unit

---

--- Q ---
Density functional theory data (PBE) for an optimized crystal structure of BaGeOF2.

```
BaGeOF2
1.0
-1.4492 3.4194 2.4703
-0.5058 -2.7340 3.4877
4.0778 0.8306 1.2425
Ge Ba O F
1 1 1 2
Cartesian
0.0000 0.0000 0.0000
1.0614 0.7580 3.6002
2.0389 0.4153 0.6212
-0.2529 -1.3670 1.7439
-0.7246 1.7097 1.2351
```

Properties
total moment	0.00	μB per formula unit

---

The structure with the greatest stability is Q.

---

--- P ---
Density functional theory data (PBE) for an optimized crystal structure of BaHF.

```
BaHF
1.0
4.5467 0.0000 0.0000
0.0000 4.2858 0.0000
0.0000 -2.1429 3.7116
H Ba F
1 1 1
Cartesian
1.0771 0.0000 2.4744
4.3873 0.0000 0.0000
3.6290 2.1429 1.2372
```

Properties
total moment	0.05	μB per formula unit

---

--- Q ---
Density functional theory data (PBE) for an optimized crystal structure of BaHF.

```
BaHF
1.0
-2.3117 0.4145 2.8349
-2.2264 -2.5525 -1.4423
4.1752 -1.7008 1.2631
H Ba F
1 1 1
Cartesian
1.2311 -1.7890 1.2655
-1.6337 -1.9921 1.3493
0.0397 -0.0577 0.0408
```

Properties
total moment	0.00	μB per formula unit

---

--- R ---
Density functional theory data (PBE) for an optimized crystal structure of BaHF.

```
BaHF
1.0
-2.1024 2.6515 2.8968
-4.4498 -0.0080 0.2027
-2.0654 -1.7569 3.5340
H Ba F
1 1 1
Cartesian
0.0000 0.0000 0.0000
-2.1544 0.2216 1.6584
-4.3088 0.4433 3.3168
```

Properties
total moment	0.06	μB per formula unit

---

The structure with the greatest stability is R.

---

--- P ---
Density functional theory data (PBE) for an optimized crystal structure of BaHOF2.

```
BaHOF2
1.0
4.3960 0.0000 0.0000
0.0000 4.3960 0.0000
0.0000 0.0000 3.1854
H Ba O F
1 1 1 2
Cartesian
0.0000 0.0000 0.0000
2.1980 2.1980 1.5927
0.0000 0.0000 1.5927
0.0000 2.1980 0.0000
2.1980 0.0000 0.0000
```

Properties
total moment	1.00	μB per formula unit

---

--- Q ---
Density functional theory data (PBE) for an optimized crystal structure of BaHOF2.

```
BaHOF2
1.0
-2.4525 -2.8407 -3.3065
3.9884 0.0688 -3.0174
2.0610 -4.8223 2.6143
H Ba O F
1 1 1 2
Cartesian
1.7985 -3.7971 -1.8548
0.0000 0.0000 0.0000
1.0305 -2.4112 1.3072
1.9942 0.0344 -1.5087
-1.2262 -1.4204 -1.6532
```

Properties
total moment	1.00	μB per formula unit

---

The structure with the greatest stability is P.

---

--- P ---
Density functional theory data (PBE) for an optimized crystal structure of Ba2HfF.

```
Ba2HfF
1.0
-0.9324 -7.9662 1.0795
6.6790 -1.3725 -4.3592
5.2781 -4.4604 1.9789
Hf Ba F
2 4 2
Cartesian
0.0000 0.0000 0.0000
3.6095 -8.5480 0.7093
1.6692 -5.4322 0.5116
5.2798 -3.8021 -1.9819
6.8123 -6.9909 -0.2018
8.2881 -11.3731 -0.9296
2.8733 -4.6693 -1.6399
7.4152 -5.2511 -2.0101
```

Properties
total moment	0.00	μB per formula unit

---

--- Q ---
Density functional theory data (PBE) for an optimized crystal structure of Ba2HfF.

```
Ba2HfF
1.0
0.0000 4.1316 4.1316
4.1316 0.0000 4.1316
4.1316 4.1316 0.0000
Hf Ba F
1 2 1
Cartesian
4.1316 4.1316 4.1316
2.0658 2.0658 2.0658
6.1975 6.1975 6.1975
0.0000 0.0000 0.0000
```

Properties
total moment	5.00	μB per formula unit

---

The structure with the greatest stability is P.

---

--- P ---
Density functional theory data (PBE) for an optimized crystal structure of BaHf3F.

```
BaHf3F
1.0
-1.4363 -4.5609 2.5002
5.1275 -0.8063 1.4747
-0.8729 2.7683 4.5486
Hf Ba F
3 1 1
Cartesian
2.5637 -0.4032 0.7373
-0.4364 1.3842 2.2743
-0.7181 -2.2805 1.2501
0.0000 0.0000 0.0000
1.4092 -1.2995 4.2617
```

Properties
total moment	0.00	μB per formula unit

---

--- Q ---
Density functional theory data (PBE) for an optimized crystal structure of BaHf3F.

```
BaHf3F
1.0
4.8464 0.0000 0.0000
0.0000 4.8464 0.0000
0.0000 0.0000 4.8464
Hf Ba F
3 1 1
Cartesian
0.0000 2.4232 0.0000
0.0000 0.0000 2.4232
2.4232 0.0000 0.0000
2.4232 2.4232 2.4232
0.0000 0.0000 0.0000
```

Properties
total moment	0.00	μB per formula unit

---

The structure with the greatest stability is Q.

---

--- P ---
Density functional theory data (PBE) for an optimized crystal structure of BaHfF3.

```
BaHfF3
1.0
5.0643 0.0000 0.0000
0.0000 5.0643 0.0000
0.0000 0.0000 5.0643
Hf Ba F
1 1 3
Cartesian
2.5322 2.5322 2.5322
0.0000 0.0000 0.0000
0.0000 2.5322 0.0000
0.0000 0.0000 2.5322
2.5322 0.0000 0.0000
```

Properties
total moment	2.06	μB per formula unit

---

--- Q ---
Density functional theory data (PBE) for an optimized crystal structure of BaHfF3.

```
BaHfF3
1.0
4.5394 0.0000 0.0000
0.0000 4.5394 0.0000
0.0000 0.0000 4.5394
Hf Ba F
1 1 3
Cartesian
0.0000 0.0000 0.0000
2.2697 2.2697 2.2697
0.0000 2.2697 0.0000
0.0000 0.0000 2.2697
2.2697 0.0000 0.0000
```

Properties
total moment	2.67	μB per formula unit

---

The structure with the greatest stability is Q.

---

--- P ---
Density functional theory data (PBE) for an optimized crystal structure of BaHg3F.

```
BaHg3F
1.0
5.3661 0.0000 0.0000
0.0000 5.3661 0.0000
0.0000 0.0000 5.3661
F Hg Ba
1 3 1
Cartesian
0.0000 0.0000 0.0000
0.0000 2.6830 0.0000
0.0000 0.0000 2.6830
2.6830 0.0000 0.0000
2.6830 2.6830 2.6830
```

Properties
total moment	0.00	μB per formula unit

---

--- Q ---
Density functional theory data (PBE) for an optimized crystal structure of BaHg3F.

```
BaHg3F
1.0
-4.2253 -4.0253 -3.4998
5.3240 -3.4553 -2.4537
-0.3256 -4.2618 5.2948
F Hg Ba
1 3 1
Cartesian
0.3865 -5.8712 -0.3293
2.6620 -1.7276 -1.2268
-0.1628 -2.1309 2.6474
-2.1127 -2.0126 -1.7499
0.0000 0.0000 0.0000
```

Properties
total moment	0.00	μB per formula unit

---

The structure with the greatest stability is P.